Compound: CuTcTe
Source: Alexandria
Functional: PBEsol
Structure: optimized geometry

a = 3.1649 Å, b = 4.3041 Å, c = 4.3041 Å
α = 120.00°, β = 90.00°, γ = 90.00°
Closest atoms and distances in Å follow each position.
Atoms (fractional coordinates):
Tc  0.5385  0.3333  0.6667  3 Te 2.50
Cu  0.0154  0.0000  0.0000  6 Te 2.83-3.07, 6 Tc 2.91-2.99, 2 Cu 3.16
Te  0.4462  0.6667  0.3333  3 Tc 2.50

E_form (uncorrected) (kJ/mol of formula units): 167.9
Total energy (eV/cell): -17.39